(1)
LiEuDyPd | PBE | optimized geometry

Properties
Uncorrected energy in eV/atom: -5.817
Total magnetization in μB/atom: 1.81
Energy of formation from the pure elements in eV/atom: -0.32
V in Å³ per atom: 23.718

Cell and atoms, written as CIF:
```
data_LiEuDyPd
_chemical_formula_sum 'Li4 Eu4 Dy4 Pd4'
_cell_length_a 7.240
_cell_length_b 7.240
_cell_length_c 7.240
_cell_angle_alpha 90.00
_cell_angle_beta 90.00
_cell_angle_gamma 90.00
_space_group_name_H-M_alt 'F -4 3 m'
_space_group_IT_number 216
_space_group_name_Hall 'F -4 2 3'
loop_
_atom_site_label
_atom_site_fract_x
_atom_site_fract_y
_atom_site_fract_z
_atom_site_occupancy
Li1 0.000 0.000 0.000 1
Eu1 0.250 0.250 0.250 1
Dy1 0.250 0.250 0.750 1
Pd1 0.000 0.000 0.500 1
```

***

(2)
CdIn3Pb6 | PBE | optimized geometry

Properties
Uncorrected energy in eV/atom: -3.116
Total magnetization in μB/atom: 0.00
Energy of formation from the pure elements in eV/atom: 0.02
V in Å³ per atom: 29.662
Relative energy among the computed polymorphs in meV/atom: 0.0

Cell and atoms, written as CIF:
```
data_CdIn3Pb6
_chemical_formula_sum 'Cd2 In6 Pb12'
_cell_length_a 10.939
_cell_length_b 4.946
_cell_length_c 10.966
_cell_angle_alpha 90.00
_cell_angle_beta 90.29
_cell_angle_gamma 90.00
_space_group_name_H-M_alt 'P 1 21/m 1'
_space_group_IT_number 11
_space_group_name_Hall '-P 2yb'
loop_
_atom_site_label
_atom_site_fract_x
_atom_site_fract_y
_atom_site_fract_z
_atom_site_occupancy
Cd1 0.046 0.250 0.097 1
In1 0.251 0.250 0.504 1
In2 0.352 0.750 0.704 1
In3 0.451 0.250 0.903 1
Pb1 0.053 0.750 0.602 1
Pb2 0.146 0.750 0.300 1
Pb3 0.149 0.250 0.806 1
Pb4 0.244 0.750 0.001 1
Pb5 0.347 0.250 0.198 1
Pb6 0.449 0.750 0.399 1
```

***

(3)
CdInSnBi | PBE | optimized geometry

Properties
Uncorrected energy in eV/atom: -2.820
Total magnetization in μB/atom: 0.00
Energy of formation from the pure elements in eV/atom: 0.06
V in Å³ per atom: 27.844
Relative energy among the computed polymorphs in meV/atom: 0.0

Cell and atoms, written as CIF:
```
data_CdInSnBi
_chemical_formula_sum 'Cd1 In1 Sn1 Bi1'
_cell_length_a 3.495
_cell_length_b 3.495
_cell_length_c 9.116
_cell_angle_alpha 90.00
_cell_angle_beta 90.00
_cell_angle_gamma 90.00
_space_group_name_H-M_alt 'P 4 m m'
_space_group_IT_number 99
_space_group_name_Hall 'P 4 -2'
loop_
_atom_site_label
_atom_site_fract_x
_atom_site_fract_y
_atom_site_fract_z
_atom_site_occupancy
Cd1 0.000 0.000 0.000 1
In1 0.000 0.000 0.478 1
Sn1 0.500 0.500 0.224 1
Bi1 0.500 0.500 0.751 1
```

***

(4)
Y2TaVTe | PBE | optimized geometry

Properties
Uncorrected energy in eV/atom: -6.970
Total magnetization in μB/atom: 0.19
V in Å³ per atom: 26.973

Cell and atoms, written as CIF:
```
data_Y2TaVTe
_chemical_formula_sum 'Y2 Ta1 V1 Te1'
_cell_length_a 5.456
_cell_length_b 5.456
_cell_length_c 4.531
_cell_angle_alpha 90.00
_cell_angle_beta 90.00
_cell_angle_gamma 90.00
_space_group_name_H-M_alt 'P 4/m m m'
_space_group_IT_number 123
_space_group_name_Hall '-P 4 2'
loop_
_atom_site_label
_atom_site_fract_x
_atom_site_fract_y
_atom_site_fract_z
_atom_site_occupancy
Y1 0.000 0.500 0.000 1
Ta1 0.000 0.000 0.500 1
V1 0.000 0.000 0.000 1
Te1 0.500 0.500 0.500 1
```

***

(5)
Tb3PrHg6 | PBE | optimized geometry

Properties
Uncorrected energy in eV/atom: -2.485
Total magnetization in μB/atom: 0.00
Energy of formation from the pure elements in eV/atom: -0.44
V in Å³ per atom: 26.069

Cell and atoms, written as CIF:
```
data_Tb3PrHg6
_chemical_formula_sum 'Tb6 Pr2 Hg12'
_cell_length_a 9.267
_cell_length_b 5.216
_cell_length_c 11.293
_cell_angle_alpha 90.00
_cell_angle_beta 107.25
_cell_angle_gamma 90.00
_space_group_name_H-M_alt 'P 1 21/m 1'
_space_group_IT_number 11
_space_group_name_Hall '-P 2yb'
loop_
_atom_site_label
_atom_site_fract_x
_atom_site_fract_y
_atom_site_fract_z
_atom_site_occupancy
Tb1 0.010 0.250 0.386 1
Tb2 0.147 0.750 0.196 1
Tb3 0.271 0.250 0.996 1
Pr1 0.433 0.250 0.616 1
Hg1 0.036 0.750 0.907 1
Hg2 0.143 0.250 0.710 1
Hg3 0.246 0.750 0.480 1
Hg4 0.326 0.250 0.309 1
Hg5 0.359 0.750 0.795 1
Hg6 0.437 0.750 0.092 1
```

***

(6)
AlAsRhSe2 | PBE | optimized geometry

Properties
Uncorrected energy in eV/atom: -4.173
Total magnetization in μB/atom: 0.00
V in Å³ per atom: 23.651
Relative energy among the computed polymorphs in meV/atom: 0.0

Cell and atoms, written as CIF:
```
data_AlAsRhSe2
_chemical_formula_sum 'Al1 As1 Rh1 Se2'
_cell_length_a 5.101
_cell_length_b 5.101
_cell_length_c 4.545
_cell_angle_alpha 90.00
_cell_angle_beta 90.00
_cell_angle_gamma 90.00
_space_group_name_H-M_alt 'P 4/m m m'
_space_group_IT_number 123
_space_group_name_Hall '-P 4 2'
loop_
_atom_site_label
_atom_site_fract_x
_atom_site_fract_y
_atom_site_fract_z
_atom_site_occupancy
Al1 0.000 0.000 0.000 1
As1 0.500 0.500 0.000 1
Rh1 0.500 0.500 0.500 1
Se1 0.000 0.500 0.500 1
```

***

(7)
Tb2DyEr5Tm | PBE | optimized geometry

Properties
Uncorrected energy in eV/atom: -4.420
Total magnetization in μB/atom: 0.00
Energy of formation from the pure elements in eV/atom: 0.15
V in Å³ per atom: 31.638

Cell and atoms, written as CIF:
```
data_Tb2DyEr5Tm
_chemical_formula_sum 'Tb8 Dy4 Er20 Tm4'
_cell_length_a 5.530
_cell_length_b 19.658
_cell_length_c 10.477
_cell_angle_alpha 90.00
_cell_angle_beta 90.00
_cell_angle_gamma 90.00
_space_group_name_H-M_alt 'C m c 21'
_space_group_IT_number 36
_space_group_name_Hall 'C 2c -2'
loop_
_atom_site_label
_atom_site_fract_x
_atom_site_fract_y
_atom_site_fract_z
_atom_site_occupancy
Tb1 0.000 0.110 0.000 1
Tb2 0.000 0.113 0.582 1
Dy1 0.000 0.200 0.275 1
Er1 0.000 0.018 0.288 1
Er2 0.000 0.282 0.571 1
Er3 0.000 0.301 0.972 1
Er4 0.000 0.390 0.286 1
Er5 0.000 0.480 0.002 1
Tm1 0.000 0.413 0.722 1
```

***

(8)
LiEuInGa | PBE | optimized geometry

Properties
Uncorrected energy in eV/atom: -4.837
Total magnetization in μB/atom: 1.81
Energy of formation from the pure elements in eV/atom: -0.35
V in Å³ per atom: 22.454

Cell and atoms, written as CIF:
```
data_LiEuInGa
_chemical_formula_sum 'Li4 Eu4 In4 Ga4'
_cell_length_a 7.109
_cell_length_b 7.109
_cell_length_c 7.109
_cell_angle_alpha 90.00
_cell_angle_beta 90.00
_cell_angle_gamma 90.00
_space_group_name_H-M_alt 'F -4 3 m'
_space_group_IT_number 216
_space_group_name_Hall 'F -4 2 3'
loop_
_atom_site_label
_atom_site_fract_x
_atom_site_fract_y
_atom_site_fract_z
_atom_site_occupancy
Li1 0.000 0.000 0.000 1
Eu1 0.250 0.250 0.750 1
In1 0.250 0.250 0.250 1
Ga1 0.000 0.000 0.500 1
```

***

Among the records above, which one has the lowest uncorrected energy? Y2TaVTe

***

Copy entry 5 word for word.
Tb3PrHg6 | PBE | optimized geometry

Properties
Uncorrected energy in eV/atom: -2.485
Total magnetization in μB/atom: 0.00
Energy of formation from the pure elements in eV/atom: -0.44
V in Å³ per atom: 26.069

Cell and atoms, written as CIF:
```
data_Tb3PrHg6
_chemical_formula_sum 'Tb6 Pr2 Hg12'
_cell_length_a 9.267
_cell_length_b 5.216
_cell_length_c 11.293
_cell_angle_alpha 90.00
_cell_angle_beta 107.25
_cell_angle_gamma 90.00
_space_group_name_H-M_alt 'P 1 21/m 1'
_space_group_IT_number 11
_space_group_name_Hall '-P 2yb'
loop_
_atom_site_label
_atom_site_fract_x
_atom_site_fract_y
_atom_site_fract_z
_atom_site_occupancy
Tb1 0.010 0.250 0.386 1
Tb2 0.147 0.750 0.196 1
Tb3 0.271 0.250 0.996 1
Pr1 0.433 0.250 0.616 1
Hg1 0.036 0.750 0.907 1
Hg2 0.143 0.250 0.710 1
Hg3 0.246 0.750 0.480 1
Hg4 0.326 0.250 0.309 1
Hg5 0.359 0.750 0.795 1
Hg6 0.437 0.750 0.092 1
```

***

Which of these has the highest uncorrected energy? Tb3PrHg6